Record 1
First-principles (PBE) data for a geometry-optimized LiPm4Co structure, as listed in Alexandria via LeMat-Bulk.

a b c (Å): 3.5789 6.6272 7.4629
angles (deg): 73.68 89.96 74.42
Closest atoms and distances in Å follow each position.
Fractional positions:
Li1 0.0000 0.0000 0.0000  8 Pm 3.18-3.25
Pm1 0.3522 0.2917 0.2013  2 Co 3.02-3.04, 2 Li 3.24-3.25, 2 Pm 3.33-3.38
Pm2 0.3696 0.2625 0.6542  2 Co 2.91, 2 Li 3.18-3.19
Pm3 0.6302 0.7383 0.3451  2 Co 2.91, 2 Li 3.18
Pm4 0.6475 0.7094 0.7976  2 Co 3.03-3.04, 2 Li 3.24-3.25, 2 Pm 3.33-3.38
Co1 0.9996 0.0009 0.4991  8 Pm 2.91-3.04

* total DFT energy (no corrections): -4.626 eV per atom
* calculated formation energy: 0.044 eV/atom

Record 2
First-principles (PBE) data for a geometry-optimized Li2Pm4Co structure, as listed in Alexandria via LeMat-Bulk.

a b c (Å): 5.2401 5.2401 15.8229
angles (deg): 90.00 90.00 90.00
Closest atoms and distances in Å follow each position.
Fractional positions:
Li1 0.0000 0.0000 0.1294  5 Pm 3.11-3.33
Li2 0.0000 0.0000 0.8706  5 Pm 3.11-3.33
Li3 0.5000 0.5000 0.3706  5 Pm 3.11-3.33
Li4 0.5000 0.5000 0.6294  5 Pm 3.11-3.33
Pm1 0.0000 0.0000 0.3261  1 Co 2.75
Pm2 0.0000 0.0000 0.6739  1 Co 2.75
Pm3 0.0000 0.5000 0.0000  2 Co 2.62
Pm4 0.0000 0.5000 0.5000  2 Co 2.62
Pm5 0.5000 0.0000 0.0000  2 Co 2.62
Pm6 0.5000 0.0000 0.5000  2 Co 2.62
Pm7 0.5000 0.5000 0.1739  1 Co 2.75
Pm8 0.5000 0.5000 0.8261  1 Co 2.75
Co1 0.0000 0.0000 0.5000  6 Pm 2.62-2.75
Co2 0.5000 0.5000 0.0000  6 Pm 2.62-2.75

* total DFT energy (no corrections): -4.094 eV per atom
* calculated formation energy: 0.183 eV/atom

Record 3
First-principles (PBE) data for a geometry-optimized LiPm4Co2 structure, as listed in Alexandria via LeMat-Bulk.

a b c (Å): 6.9127 7.1103 8.0705
angles (deg): 108.83 108.09 99.60
Closest atoms and distances in Å follow each position.
Fractional positions:
Li1 0.0000 0.0000 0.0000  1 Co 2.73, 2 Pm 2.91-2.95
Li2 0.1053 0.8769 0.5651  2 Co 2.72-3.00, 3 Pm 2.91-2.98
Pm1 0.2519 0.6964 0.2226  3 Co 2.92-3.04, 1 Li 3.19
Pm2 0.3659 0.2712 0.8819  3 Co 2.83-2.94, 1 Li 2.91
Pm3 0.3714 0.2514 0.3600  3 Co 2.82-2.88, 1 Li 2.95
Pm4 0.4842 0.6856 0.7418  3 Co 2.83-3.06
Pm5 0.7472 0.8321 0.2214  4 Co 2.78-3.07, 1 Li 2.97
Pm6 0.7628 0.1061 0.6671  3 Co 2.86-2.93, 1 Li 3.08
Pm7 0.8158 0.3403 0.2458  3 Co 2.81-2.98
Pm8 0.9822 0.5950 0.7436  3 Co 2.66-2.92, 2 Li 2.91-2.98
Co1 0.0738 0.2409 0.5316  1 Li 2.72, 5 Pm 2.81-2.86
Co2 0.3935 0.9534 0.0398  1 Li 2.73, 5 Pm 2.83-2.94
Co3 0.6477 0.6556 0.4564  7 Pm 2.78-2.98, 1 Li 3.00
Co4 0.7871 0.4949 0.9536  5 Pm 2.66-2.91

* total DFT energy (no corrections): -5.008 eV per atom
* calculated formation energy: 0.010 eV/atom

Record 4
First-principles (PBE) data for a geometry-optimized LiPmCo4 structure, as listed in Alexandria via LeMat-Bulk.

a b c (Å): 4.9834 4.9834 4.9834
angles (deg): 60.00 60.00 60.00
Closest atoms and distances in Å follow each position.
Fractional positions:
Li1 0.0000 0.0000 0.0000  12 Co 2.92, 4 Pm 3.05
Pm1 0.7500 0.7500 0.7500  12 Co 2.92, 4 Li 3.05
Co1 0.3742 0.3742 0.3742  6 Co 2.48-2.51
Co2 0.3742 0.3742 0.8773  6 Co 2.48-2.51
Co3 0.3742 0.8773 0.3742  6 Co 2.48-2.51
Co4 0.8773 0.3742 0.3742  6 Co 2.48-2.51

* total DFT energy (no corrections): -5.848 eV per atom
* calculated formation energy: 0.000 eV/atom

Record 5
First-principles (PBE) data for a geometry-optimized LiPm3Co structure, as listed in Alexandria via LeMat-Bulk.

a b c (Å): 7.2840 7.2840 7.7234
angles (deg): 118.27 118.27 59.93
Closest atoms and distances in Å follow each position.
Fractional positions:
Li1 0.0820 0.0820 0.2451  1 Li 3.17
Li2 0.9180 0.9180 0.7549  1 Li 3.17
Pm1 0.0853 0.5912 0.2670  2 Co 2.67-2.77
Pm2 0.4086 0.4086 0.7324  2 Co 2.68-2.77
Pm3 0.4088 0.9147 0.7330  2 Co 2.67-2.77
Pm4 0.5912 0.0853 0.2670  2 Co 2.67-2.77
Pm5 0.5914 0.5914 0.2676  2 Co 2.68-2.77
Pm6 0.9147 0.4088 0.7330  2 Co 2.67-2.77
Co1 0.3310 0.3310 0.9931  6 Pm 2.67-2.77
Co2 0.6690 0.6690 0.0069  6 Pm 2.67-2.77

* total DFT energy (no corrections): -4.538 eV per atom
* calculated formation energy: 0.116 eV/atom

Record 6
First-principles (PBE) data for a geometry-optimized LiPmPrCo structure, as listed in Alexandria via LeMat-Bulk.

a b c (Å): 7.1210 7.1210 7.1210
angles (deg): 90.00 90.00 90.00
Closest atoms and distances in Å follow each position.
Fractional positions:
Li1 0.0000 0.0000 0.0000  4 Pm 3.08, 4 Pr 3.08
Li2 0.0000 0.5000 0.5000  4 Pm 3.08, 4 Pr 3.08
Li3 0.5000 0.0000 0.5000  4 Pm 3.08, 4 Pr 3.08
Li4 0.5000 0.5000 0.0000  4 Pm 3.08, 4 Pr 3.08
Pm1 0.2500 0.2500 0.2500  4 Li 3.08, 4 Co 3.08
Pm2 0.2500 0.7500 0.7500  4 Co 3.08, 4 Li 3.08
Pm3 0.7500 0.2500 0.7500  4 Co 3.08, 4 Li 3.08
Pm4 0.7500 0.7500 0.2500  4 Co 3.08, 4 Li 3.08
Pr1 0.2500 0.2500 0.7500  4 Li 3.08, 4 Co 3.08
Pr2 0.2500 0.7500 0.2500  4 Li 3.08, 4 Co 3.08
Pr3 0.7500 0.2500 0.2500  4 Li 3.08, 4 Co 3.08
Pr4 0.7500 0.7500 0.7500  4 Li 3.08, 4 Co 3.08
Co1 0.0000 0.0000 0.5000  4 Pr 3.08, 4 Pm 3.08
Co2 0.0000 0.5000 0.0000  4 Pr 3.08, 4 Pm 3.08
Co3 0.5000 0.0000 0.0000  4 Pr 3.08, 4 Pm 3.08
Co4 0.5000 0.5000 0.5000  4 Pr 3.08, 4 Pm 3.08

* total DFT energy (no corrections): -4.590 eV per atom
* calculated formation energy: 0.048 eV/atom

Record 7
First-principles (PBE) data for a geometry-optimized LiPmPuCo structure, as listed in Alexandria via LeMat-Bulk.

a b c (Å): 6.9359 6.9359 6.9359
angles (deg): 90.00 90.00 90.00
Closest atoms and distances in Å follow each position.
Fractional positions:
Li1 0.0000 0.0000 0.0000  4 Pm 3.00, 4 Pu 3.00
Li2 0.0000 0.5000 0.5000  4 Pm 3.00, 4 Pu 3.00
Li3 0.5000 0.0000 0.5000  4 Pm 3.00, 4 Pu 3.00
Li4 0.5000 0.5000 0.0000  4 Pm 3.00, 4 Pu 3.00
Pm1 0.2500 0.2500 0.2500  4 Li 3.00, 4 Co 3.00
Pm2 0.2500 0.7500 0.7500  4 Li 3.00, 4 Co 3.00
Pm3 0.7500 0.2500 0.7500  4 Li 3.00, 4 Co 3.00
Pm4 0.7500 0.7500 0.2500  4 Li 3.00, 4 Co 3.00
Pu1 0.2500 0.2500 0.7500  4 Li 3.00, 4 Co 3.00
Pu2 0.2500 0.7500 0.2500  4 Li 3.00, 4 Co 3.00
Pu3 0.7500 0.2500 0.2500  4 Li 3.00, 4 Co 3.00
Pu4 0.7500 0.7500 0.7500  4 Li 3.00, 4 Co 3.00
Co1 0.0000 0.0000 0.5000  4 Pm 3.00, 4 Pu 3.00
Co2 0.0000 0.5000 0.0000  4 Pm 3.00, 4 Pu 3.00
Co3 0.5000 0.0000 0.0000  4 Pm 3.00, 4 Pu 3.00
Co4 0.5000 0.5000 0.5000  4 Pm 3.00, 4 Pu 3.00

* total DFT energy (no corrections): -6.878 eV per atom
* calculated formation energy: 0.147 eV/atom

Record 8
First-principles (PBE) data for a geometry-optimized LiPmScCo structure, as listed in Alexandria via LeMat-Bulk.

a b c (Å): 6.7618 6.7618 6.7618
angles (deg): 90.00 90.00 90.00
Closest atoms and distances in Å follow each position.
Fractional positions:
Li1 0.0000 0.0000 0.0000  4 Pm 2.93, 4 Sc 2.93
Li2 0.0000 0.5000 0.5000  4 Pm 2.93, 4 Sc 2.93
Li3 0.5000 0.0000 0.5000  4 Pm 2.93, 4 Sc 2.93
Li4 0.5000 0.5000 0.0000  4 Pm 2.93, 4 Sc 2.93
Pm1 0.2500 0.2500 0.7500  4 Li 2.93, 4 Co 2.93
Pm2 0.2500 0.7500 0.2500  4 Li 2.93, 4 Co 2.93
Pm3 0.7500 0.2500 0.2500  4 Li 2.93, 4 Co 2.93
Pm4 0.7500 0.7500 0.7500  4 Li 2.93, 4 Co 2.93
Sc1 0.2500 0.2500 0.2500  4 Li 2.93, 4 Co 2.93
Sc2 0.2500 0.7500 0.7500  4 Li 2.93, 4 Co 2.93
Sc3 0.7500 0.2500 0.7500  4 Li 2.93, 4 Co 2.93
Sc4 0.7500 0.7500 0.2500  4 Li 2.93, 4 Co 2.93
Co1 0.0000 0.0000 0.5000  4 Sc 2.93, 4 Pm 2.93
Co2 0.0000 0.5000 0.0000  4 Sc 2.93, 4 Pm 2.93
Co3 0.5000 0.0000 0.0000  4 Sc 2.93, 4 Pm 2.93
Co4 0.5000 0.5000 0.5000  4 Sc 2.93, 4 Pm 2.93

* total DFT energy (no corrections): -5.065 eV per atom
* calculated formation energy: -0.040 eV/atom

Record 9
First-principles (PBE) data for a geometry-optimized LiPmCoSi structure, as listed in Alexandria via LeMat-Bulk.

a b c (Å): 6.3430 6.3430 6.3430
angles (deg): 90.00 90.00 90.00
Closest atoms and distances in Å follow each position.
Fractional positions:
Li1 0.0000 0.0000 0.0000  4 Pm 2.75, 4 Si 2.75
Li2 0.0000 0.5000 0.5000  4 Pm 2.75, 4 Si 2.75
Li3 0.5000 0.0000 0.5000  4 Pm 2.75, 4 Si 2.75
Li4 0.5000 0.5000 0.0000  4 Pm 2.75, 4 Si 2.75
Pm1 0.2500 0.2500 0.7500  4 Li 2.75, 4 Co 2.75
Pm2 0.2500 0.7500 0.2500  4 Li 2.75, 4 Co 2.75
Pm3 0.7500 0.2500 0.2500  4 Li 2.75, 4 Co 2.75
Pm4 0.7500 0.7500 0.7500  4 Li 2.75, 4 Co 2.75
Co1 0.0000 0.0000 0.5000  4 Pm 2.75, 4 Si 2.75
Co2 0.0000 0.5000 0.0000  4 Pm 2.75, 4 Si 2.75
Co3 0.5000 0.0000 0.0000  4 Pm 2.75, 4 Si 2.75
Co4 0.5000 0.5000 0.5000  4 Pm 2.75, 4 Si 2.75
Si1 0.2500 0.2500 0.2500  4 Li 2.75, 4 Co 2.75
Si2 0.2500 0.7500 0.7500  4 Li 2.75, 4 Co 2.75
Si3 0.7500 0.2500 0.7500  4 Li 2.75, 4 Co 2.75
Si4 0.7500 0.7500 0.2500  4 Li 2.75, 4 Co 2.75

* total DFT energy (no corrections): -5.069 eV per atom
* formation energy from raw total energies: -271 meV/atom

Record 10
First-principles (PBE) data for a geometry-optimized LiPmSmCo structure, as listed in Alexandria via LeMat-Bulk.

a b c (Å): 7.0470 7.0470 7.0470
angles (deg): 90.00 90.00 90.00
Closest atoms and distances in Å follow each position.
Fractional positions:
Li1 0.0000 0.0000 0.0000  4 Sm 3.05, 4 Pm 3.05
Li2 0.0000 0.5000 0.5000  4 Sm 3.05, 4 Pm 3.05
Li3 0.5000 0.0000 0.5000  4 Sm 3.05, 4 Pm 3.05
Li4 0.5000 0.5000 0.0000  4 Sm 3.05, 4 Pm 3.05
Pm1 0.2500 0.2500 0.7500  4 Li 3.05, 4 Co 3.05
Pm2 0.2500 0.7500 0.2500  4 Li 3.05, 4 Co 3.05
Pm3 0.7500 0.2500 0.2500  4 Li 3.05, 4 Co 3.05
Pm4 0.7500 0.7500 0.7500  4 Li 3.05, 4 Co 3.05
Sm1 0.2500 0.2500 0.2500  4 Li 3.05, 4 Co 3.05
Sm2 0.2500 0.7500 0.7500  4 Li 3.05, 4 Co 3.05
Sm3 0.7500 0.2500 0.7500  4 Li 3.05, 4 Co 3.05
Sm4 0.7500 0.7500 0.2500  4 Li 3.05, 4 Co 3.05
Co1 0.0000 0.0000 0.5000  4 Pm 3.05, 4 Sm 3.05
Co2 0.0000 0.5000 0.0000  4 Pm 3.05, 4 Sm 3.05
Co3 0.5000 0.0000 0.0000  4 Pm 3.05, 4 Sm 3.05
Co4 0.5000 0.5000 0.5000  4 Pm 3.05, 4 Sm 3.05

* total DFT energy (no corrections): -4.610 eV per atom
* calculated formation energy: 0.013 eV/atom

Record 11
First-principles (PBE) data for a geometry-optimized LiPmCoSn structure, as listed in Alexandria via LeMat-Bulk.

a b c (Å): 6.6669 6.6669 6.6669
angles (deg): 90.00 90.00 90.00
Closest atoms and distances in Å follow each position.
Fractional positions:
Li1 0.0000 0.0000 0.0000  4 Sn 2.89, 4 Pm 2.89
Li2 0.0000 0.5000 0.5000  4 Sn 2.89, 4 Pm 2.89
Li3 0.5000 0.0000 0.5000  4 Sn 2.89, 4 Pm 2.89
Li4 0.5000 0.5000 0.0000  4 Sn 2.89, 4 Pm 2.89
Pm1 0.2500 0.2500 0.7500  4 Li 2.89, 4 Co 2.89
Pm2 0.2500 0.7500 0.2500  4 Li 2.89, 4 Co 2.89
Pm3 0.7500 0.2500 0.2500  4 Li 2.89, 4 Co 2.89
Pm4 0.7500 0.7500 0.7500  4 Co 2.89, 4 Li 2.89
Co1 0.0000 0.0000 0.5000  4 Sn 2.89, 4 Pm 2.89
Co2 0.0000 0.5000 0.0000  4 Sn 2.89, 4 Pm 2.89
Co3 0.5000 0.0000 0.0000  4 Sn 2.89, 4 Pm 2.89
Co4 0.5000 0.5000 0.5000  4 Pm 2.89, 4 Sn 2.89
Sn1 0.2500 0.2500 0.2500  4 Li 2.89, 4 Co 2.89
Sn2 0.2500 0.7500 0.7500  4 Li 2.89, 4 Co 2.89
Sn3 0.7500 0.2500 0.7500  4 Li 2.89, 4 Co 2.89
Sn4 0.7500 0.7500 0.2500  4 Li 2.89, 4 Co 2.89

* total DFT energy (no corrections): -4.790 eV per atom
* calculated formation energy: -0.347 eV/atom

Record 12
First-principles (PBE) data for a geometry-optimized LiTbPmCo structure, as listed in Alexandria via LeMat-Bulk.

a b c (Å): 6.9857 6.9857 6.9857
angles (deg): 90.00 90.00 90.00
Closest atoms and distances in Å follow each position.
Fractional positions:
Li1 0.0000 0.0000 0.0000  4 Pm 3.02, 4 Tb 3.02
Li2 0.0000 0.5000 0.5000  4 Pm 3.02, 4 Tb 3.02
Li3 0.5000 0.0000 0.5000  4 Pm 3.02, 4 Tb 3.02
Li4 0.5000 0.5000 0.0000  4 Pm 3.02, 4 Tb 3.02
Tb1 0.2500 0.2500 0.2500  4 Li 3.02, 4 Co 3.02
Tb2 0.2500 0.7500 0.7500  4 Li 3.02, 4 Co 3.02
Tb3 0.7500 0.2500 0.7500  4 Li 3.02, 4 Co 3.02
Tb4 0.7500 0.7500 0.2500  4 Li 3.02, 4 Co 3.02
Pm1 0.2500 0.2500 0.7500  4 Li 3.02, 4 Co 3.02
Pm2 0.2500 0.7500 0.2500  4 Li 3.02, 4 Co 3.02
Pm3 0.7500 0.2500 0.2500  4 Li 3.02, 4 Co 3.02
Pm4 0.7500 0.7500 0.7500  4 Li 3.02, 4 Co 3.02
Co1 0.0000 0.0000 0.5000  4 Tb 3.02, 4 Pm 3.02
Co2 0.0000 0.5000 0.0000  4 Tb 3.02, 4 Pm 3.02
Co3 0.5000 0.0000 0.0000  4 Tb 3.02, 4 Pm 3.02
Co4 0.5000 0.5000 0.5000  4 Tb 3.02, 4 Pm 3.02

* total DFT energy (no corrections): -4.618 eV per atom
* calculated formation energy: -0.018 eV/atom

Record 13
First-principles (PBE) data for a geometry-optimized LiPmThCo structure, as listed in Alexandria via LeMat-Bulk.

a b c (Å): 7.0723 7.0723 7.0723
angles (deg): 90.00 90.00 90.00
Closest atoms and distances in Å follow each position.
Fractional positions:
Li1 0.0000 0.0000 0.0000  4 Th 3.06, 4 Pm 3.06
Li2 0.0000 0.5000 0.5000  4 Th 3.06, 4 Pm 3.06
Li3 0.5000 0.0000 0.5000  4 Th 3.06, 4 Pm 3.06
Li4 0.5000 0.5000 0.0000  4 Th 3.06, 4 Pm 3.06
Pm1 0.2500 0.2500 0.7500  4 Li 3.06, 4 Co 3.06
Pm2 0.2500 0.7500 0.2500  4 Li 3.06, 4 Co 3.06
Pm3 0.7500 0.2500 0.2500  4 Li 3.06, 4 Co 3.06
Pm4 0.7500 0.7500 0.7500  4 Li 3.06, 4 Co 3.06
Th1 0.2500 0.2500 0.2500  4 Li 3.06, 4 Co 3.06
Th2 0.2500 0.7500 0.7500  4 Li 3.06, 4 Co 3.06
Th3 0.7500 0.2500 0.7500  4 Li 3.06, 4 Co 3.06
Th4 0.7500 0.7500 0.2500  4 Li 3.06, 4 Co 3.06
Co1 0.0000 0.0000 0.5000  4 Th 3.06, 4 Pm 3.06
Co2 0.0000 0.5000 0.0000  4 Th 3.06, 4 Pm 3.06
Co3 0.5000 0.0000 0.0000  4 Th 3.06, 4 Pm 3.06
Co4 0.5000 0.5000 0.5000  4 Th 3.06, 4 Pm 3.06

* total DFT energy (no corrections): -5.226 eV per atom
* calculated formation energy: 0.071 eV/atom

no.,M_tot (μB/f.u.)
1,0.00
2,0.06
3,0.00
4,5.57
5,0.00
6,0.00
7,5.72
8,0.00
9,1.01
10,0.00
11,0.99
12,0.00
13,0.23